DFT (GGA-PBE) results for a geometry-optimized ScNb2AgAs structure.

Cell lengths 4.772, 5.017, 4.772 Å; angles 90.00, 90.00, 90.00 degrees
Element x y z (fractional)
1 Sc 0.000 0.000 0.000
2 Nb 0.000 0.000 0.500
3 Nb 0.500 0.000 0.000
4 As 0.500 0.500 0.500
5 Ag 0.000 0.500 0.000

Properties
Energy of formation = 1.5130 eV per atom
Spin magnetization = 0.00 μB/cell
SG = P4/mmm, No. 123

DFT (GGA-PBE) results for a geometry-optimized NbAgAsSe2 structure.

Cell lengths 5.034, 5.034, 5.074 Å; angles 90.00, 90.00, 90.00 degrees
Element x y z (fractional)
1 As 0.000 0.000 0.500
2 Nb 0.000 0.000 0.000
3 Se 0.000 0.500 0.000
4 Se 0.500 0.000 0.000
5 Ag 0.500 0.500 0.500

Properties
Relative energy among the computed polymorphs = 0.000 eV per atom
Spin magnetization = 0.00 μB/cell
SG = P4/mmm, No. 123
Formation energy (no corrections) = 140.9 meV per atom

DFT (GGA-PBE) results for a geometry-optimized NbAgAsSe2 structure.

Cell lengths 4.935, 4.935, 4.894 Å; angles 90.00, 90.00, 90.00 degrees
Element x y z (fractional)
1 As 0.000 0.000 0.500
2 Nb 0.500 0.500 0.500
3 Se 0.000 0.500 0.000
4 Se 0.500 0.000 0.000
5 Ag 0.000 0.000 0.000

Properties
Relative energy among the computed polymorphs = 0.920 eV per atom
Spin magnetization = 0.00 μB/cell
SG = P4/mmm, No. 123
Formation energy (no corrections) = 1060.6 meV per atom

DFT (GGA-PBE) results for a geometry-optimized TiNbAg2As structure.

Cell lengths 4.720, 4.769, 4.720 Å; angles 90.00, 90.00, 90.00 degrees
Element x y z (fractional)
1 Nb 0.500 0.500 0.500
2 As 0.000 0.000 0.000
3 Ag 0.000 0.000 0.500
4 Ag 0.500 0.000 0.000
5 Ti 0.000 0.500 0.000

Properties
Energy of formation = 0.8230 eV per atom
Spin magnetization = 0.00 μB/cell
SG = P4/mmm, No. 123

DFT (GGA-PBE) results for a geometry-optimized NdAgAs2 structure.

Cell lengths 4.017, 4.661, 4.661 Å; angles 90.00, 90.00, 90.00 degrees
Element x y z (fractional)
1 As 0.000 0.000 0.500
2 As 0.000 0.500 0.000
3 Nd 0.500 0.500 0.500
4 Ag 0.500 0.000 0.000

Properties
Energy of formation = -0.5633 eV per atom
Spin magnetization = 0.00 μB/cell
SG = P4/mmm, No. 123

DFT (GGA-PBE) results for a geometry-optimized Nd2AgAs structure.

Cell lengths 3.790, 3.790, 7.128 Å; angles 90.00, 90.00, 90.00 degrees
Element x y z (fractional)
1 As 0.500 0.500 0.000
2 Nd 0.000 0.000 0.766
3 Nd 0.000 0.000 0.234
4 Ag 0.500 0.500 0.500

Properties
Energy of formation = -0.7097 eV per atom
Spin magnetization = 0.00 μB/cell
SG = P4/mmm, No. 123

The following DFT total energy values (in hartree per atom) correspond, in order, to the records above: -0.194; -0.175; -0.141; -0.178; -0.176; -0.183.